First-principles (PBE) data for an optimized crystal structure of RbSrAs3, as listed in Alexandria.

Cell lengths 5.788, 5.788, 5.788 Å; angles 90.00, 90.00, 90.00 degrees
Fractional positions:
Rb  0.000  0.000  0.000
Sr  0.500  0.500  0.500
As  0.000  0.500  0.500
As  0.500  0.000  0.500
As  0.500  0.500  0.000

The energy relative to the lowest polymorph listed for this composition comes out at 0 meV per atom.


First-principles (PBE) data for an optimized crystal structure of Rb3SrAs, as listed in Alexandria.

Cell lengths 7.839, 7.839, 7.839 Å; angles 90.00, 90.00, 90.00 degrees
Fractional positions:
Rb  0.000  0.000  0.500
Rb  0.000  0.500  0.000
Rb  0.500  0.000  0.000
Sr  0.000  0.000  0.000
As  0.500  0.500  0.500

The energy relative to the lowest polymorph listed for this composition comes out at 786 meV per atom.


First-principles (PBE) data for an optimized crystal structure of Rb3SrAs, as listed in Alexandria.

Cell lengths 6.864, 6.864, 6.864 Å; angles 90.00, 90.00, 90.00 degrees
Fractional positions:
Rb  0.000  0.000  0.500
Rb  0.000  0.500  0.000
Rb  0.500  0.000  0.000
Sr  0.500  0.500  0.500
As  0.000  0.000  0.000

The energy relative to the lowest polymorph listed for this composition comes out at 0 meV per atom.


First-principles (PBE) data for an optimized crystal structure of Rb2SrAs, as listed in Alexandria.

Cell lengths 6.192, 6.192, 6.192 Å; angles 60.00, 60.00, 60.00 degrees
Fractional positions:
Rb  0.250  0.250  0.250
Rb  0.750  0.750  0.750
Sr  0.000  0.000  0.000
As  0.500  0.500  0.500

The energy relative to the lowest polymorph listed for this composition comes out at 339 meV per atom.


First-principles (PBE) data for an optimized crystal structure of Rb2SrAs2, as listed in Alexandria.

Cell lengths 8.214, 8.214, 8.214 Å; angles 146.30, 146.30, 48.40 degrees
Fractional positions:
Rb  0.250  0.750  0.500
Rb  0.750  0.250  0.500
Sr  0.000  0.000  0.000
As  0.417  0.417  0.000
As  0.583  0.583  0.000

The energy relative to the lowest polymorph listed for this composition comes out at 111 meV per atom.


First-principles (PBE) data for an optimized crystal structure of RbSr2As, as listed in Alexandria.

Cell lengths 8.241, 8.241, 8.241 Å; angles 101.85, 101.85, 126.11 degrees
Fractional positions:
Rb  0.000  0.000  0.000
Rb  0.750  0.250  0.500
Sr  0.246  0.625  0.121
Sr  0.375  0.496  0.621
Sr  0.504  0.125  0.879
Sr  0.875  0.754  0.379
As  0.250  0.750  0.500
As  0.500  0.500  0.000

The energy relative to the lowest polymorph listed for this composition comes out at 222 meV per atom.


For the records above, the corresponding formation energy from the elements values read 0.342; 0.824; 0.037; 0.074; -0.351; -0.382 eV per atom.
For the records above, the corresponding calculated total energy values read -14.89; -5.12; -9.05; -7.97; -14.67; -10.51 eV/f.u..